Version a
A geometry-optimized Zr2Zn2O5 structure, computed with PBE.

## Properties
V (A^3/atom): 12.08
Magnetization (Bohr magnetons per cell): 1.62
SG: P4/mmm

Cell lengths 3.6921, 3.6921, 7.9779 Å; angles 90.00, 90.00, 90.00 degrees
Closest atoms and distances in Å follow each position.
Positions (direct):
Zr: 0.0000 0.0000 0.0000  8 O 2.24
Zr: 0.0000 0.0000 0.5000  4 O 2.61
Zn: 0.5000 0.5000 0.2489  5 O 1.98-2.00
Zn: 0.5000 0.5000 0.7511  5 O 1.98-2.00
O: 0.0000 0.5000 0.1597  2 Zn 1.98
O: 0.0000 0.5000 0.8403  2 Zn 1.98
O: 0.5000 0.0000 0.1597  2 Zn 1.98
O: 0.5000 0.0000 0.8403  2 Zn 1.98
O: 0.5000 0.5000 0.5000  2 Zn 2.00

Version b
A geometry-optimized Zr2Zn2O5 structure, computed with PBE.

## Properties
V (A^3/atom): 13.56
Magnetization (Bohr magnetons per cell): 0.00
SG: P4/mmm

Cell lengths 3.8715, 3.8715, 8.1420 Å; angles 90.00, 90.00, 90.00 degrees
Closest atoms and distances in Å follow each position.
Positions (direct):
Zr: 0.0000 0.0000 0.2461  5 O 2.00-2.07
Zr: 0.0000 0.0000 0.7539  5 O 2.00-2.07
Zn: 0.5000 0.5000 0.0000  4 O 2.74
Zn: 0.5000 0.5000 0.5000  8 O 2.35
O: 0.0000 0.0000 0.0000  2 Zr 2.00
O: 0.0000 0.5000 0.3369  2 Zr 2.07
O: 0.0000 0.5000 0.6631  2 Zr 2.07
O: 0.5000 0.0000 0.3369  2 Zr 2.07
O: 0.5000 0.0000 0.6631  2 Zr 2.07

Least stable structure: version a

Version a
A geometry-optimized Sr2SiP6Os structure, computed with PBE.

## Properties
V (A^3/atom): 19.64
Magnetization (Bohr magnetons per cell): 0.00
SG: C2/m

Cell lengths 6.5388, 6.5388, 7.8736 Å; angles 125.93, 125.93, 49.94 degrees
Closest atoms and distances in Å follow each position.
Positions (direct):
Sr: 0.2273 0.2273 0.2156  5 P 2.87-3.01
Sr: 0.7727 0.7727 0.7844  5 P 2.87-3.01
Si: 0.5000 0.5000 0.0000  6 P 2.32-2.49
P: 0.2583 0.6570 0.6787  1 P 2.20, 1 Os 2.43
P: 0.2605 0.2605 0.8728  1 Si 2.32, 1 Os 2.53
P: 0.3430 0.7417 0.3213  1 P 2.20, 1 Os 2.43
P: 0.6570 0.2583 0.6787  1 P 2.20, 1 Os 2.43
P: 0.7395 0.7395 0.1272  1 Si 2.32, 1 Os 2.53
P: 0.7417 0.3430 0.3213  1 P 2.20, 1 Os 2.43
Os: 0.0000 0.0000 0.5000  6 P 2.43-2.53

Version b
A geometry-optimized Sr2SiP6Os structure, computed with PBE.

## Properties
V (A^3/atom): 19.76
Magnetization (Bohr magnetons per cell): 0.00
SG: P2_1/c

Cell lengths 6.5196, 6.4754, 9.9981 Å; angles 90.00, 110.58, 90.00 degrees
Closest atoms and distances in Å follow each position.
Positions (direct):
Sr: 0.2336 0.0341 0.2625  8 P 2.96-3.19, 1 Si 3.25
Sr: 0.2336 0.4659 0.7625  8 P 2.96-3.19, 1 Si 3.25
Sr: 0.7664 0.5341 0.2375  8 P 2.96-3.19, 1 Si 3.25
Sr: 0.7664 0.9659 0.7375  8 P 2.96-3.19, 1 Si 3.25
Si: 0.0000 0.0000 0.5000  6 P 2.38-2.54
Si: 0.0000 0.5000 0.0000  6 P 2.38-2.54
P: 0.1342 0.1734 0.9603  1 Si 2.38, 1 Os 2.54
P: 0.1342 0.3266 0.4603  1 Si 2.38, 1 Os 2.54
P: 0.2966 0.5484 0.2435  1 P 2.20, 1 Os 2.46
P: 0.2966 0.9516 0.7435  1 P 2.20, 1 Os 2.46
P: 0.3280 0.7047 0.0564  1 P 2.20, 1 Os 2.38, 1 Si 2.41
P: 0.3280 0.7953 0.5564  1 P 2.20, 1 Os 2.38, 1 Si 2.41
P: 0.6720 0.2047 0.4436  1 P 2.20, 1 Os 2.38, 1 Si 2.41
P: 0.6720 0.2953 0.9436  1 P 2.20, 1 Os 2.38, 1 Si 2.41
P: 0.7034 0.0484 0.2565  1 P 2.20, 1 Os 2.46
P: 0.7034 0.4516 0.7565  1 P 2.20, 1 Os 2.46
P: 0.8658 0.6734 0.5397  1 Si 2.38, 1 Os 2.54
P: 0.8658 0.8266 0.0397  1 Si 2.38, 1 Os 2.54
Os: 0.5000 0.0000 0.0000  6 P 2.38-2.54
Os: 0.5000 0.5000 0.5000  6 P 2.38-2.54

Least stable structure: version b

Version a
A geometry-optimized TePOs structure, computed with PBE.

## Properties
V (A^3/atom): 19.35
Magnetization (Bohr magnetons per cell): 0.00
SG: Pmn2_1

Cell lengths 3.6020, 5.2060, 6.1914 Å; angles 90.00, 90.00, 90.00 degrees
Closest atoms and distances in Å follow each position.
Positions (direct):
Te: 0.0000 0.0667 0.0000  1 P 2.64, 3 Os 2.65-2.68
Te: 0.5000 0.9333 0.5000  1 P 2.64, 3 Os 2.65-2.68
P: 0.0000 0.4653 0.2638  3 Os 2.36-2.39, 1 Te 2.64
P: 0.5000 0.5347 0.7638  3 Os 2.36-2.39, 1 Te 2.64
Os: 0.0000 0.2896 0.6159  3 P 2.36-2.39, 1 Te 2.65
Os: 0.5000 0.7104 0.1159  3 P 2.36-2.39, 1 Te 2.65

Version b
A geometry-optimized TePOs structure, computed with PBE.

## Properties
V (A^3/atom): 19.68
Magnetization (Bohr magnetons per cell): 0.48
SG: P2/m

Cell lengths 5.2120, 3.6455, 6.2300 Å; angles 90.00, 93.97, 90.00 degrees
Closest atoms and distances in Å follow each position.
Positions (direct):
Te: 0.2125 0.0000 0.1461  3 Os 2.54-2.57, 1 Te 2.77
Te: 0.7875 0.0000 0.8539  3 Os 2.54-2.57, 1 Te 2.77
P: 0.3124 0.5000 0.6257  3 Os 2.47-2.53, 1 P 2.59
P: 0.6876 0.5000 0.3743  3 Os 2.47-2.53, 1 P 2.59
Os: 0.0000 0.0000 0.5000  4 P 2.53, 2 Te 2.54
Os: 0.5000 0.5000 0.0000  2 P 2.47, 4 Te 2.57

Least stable structure: version b

Version a
A geometry-optimized PaTeOs structure, computed with PBE.

## Properties
V (A^3/atom): 24.63
Magnetization (Bohr magnetons per cell): 2.45
SG: F-43m

Cell lengths 6.6609, 6.6609, 6.6609 Å; angles 90.00, 90.00, 90.00 degrees
Closest atoms and distances in Å follow each position.
Positions (direct):
Pa: 0.0000 0.0000 0.0000  4 Te 2.88
Pa: 0.0000 0.5000 0.5000  4 Te 2.88
Pa: 0.5000 0.0000 0.5000  4 Te 2.88
Pa: 0.5000 0.5000 0.0000  4 Te 2.88
Te: 0.2500 0.2500 0.7500  4 Pa 2.88, 4 Os 2.88
Te: 0.2500 0.7500 0.2500  4 Pa 2.88, 4 Os 2.88
Te: 0.7500 0.2500 0.2500  4 Pa 2.88, 4 Os 2.88
Te: 0.7500 0.7500 0.7500  4 Os 2.88, 4 Pa 2.88
Os: 0.0000 0.0000 0.5000  4 Te 2.88
Os: 0.0000 0.5000 0.0000  4 Te 2.88
Os: 0.5000 0.0000 0.0000  4 Te 2.88
Os: 0.5000 0.5000 0.5000  4 Te 2.88

Version b
A geometry-optimized PaTeOs structure, computed with PBE.

## Properties
V (A^3/atom): 26.68
Magnetization (Bohr magnetons per cell): 1.19
SG: F-43m

Cell lengths 6.8408, 6.8408, 6.8408 Å; angles 90.00, 90.00, 90.00 degrees
Closest atoms and distances in Å follow each position.
Positions (direct):
Pa: 0.0000 0.0000 0.0000  4 Os 2.96, 4 Te 2.96
Pa: 0.0000 0.5000 0.5000  4 Os 2.96, 4 Te 2.96
Pa: 0.5000 0.0000 0.5000  4 Os 2.96, 4 Te 2.96
Pa: 0.5000 0.5000 0.0000  4 Os 2.96, 4 Te 2.96
Te: 0.2500 0.2500 0.2500  4 Pa 2.96
Te: 0.2500 0.7500 0.7500  4 Pa 2.96
Te: 0.7500 0.2500 0.7500  4 Pa 2.96
Te: 0.7500 0.7500 0.2500  4 Pa 2.96
Os: 0.2500 0.2500 0.7500  4 Pa 2.96
Os: 0.2500 0.7500 0.2500  4 Pa 2.96
Os: 0.7500 0.2500 0.2500  4 Pa 2.96
Os: 0.7500 0.7500 0.7500  4 Pa 2.96

Least stable structure: version a

Version a
A geometry-optimized PaTlOs structure, computed with PBE.

## Properties
V (A^3/atom): 26.22
Magnetization (Bohr magnetons per cell): 0.00
SG: F-43m

Cell lengths 6.8011, 6.8011, 6.8011 Å; angles 90.00, 90.00, 90.00 degrees
Closest atoms and distances in Å follow each position.
Positions (direct):
Pa: 0.0000 0.0000 0.0000  4 Tl 2.94, 4 Os 2.94
Pa: 0.0000 0.5000 0.5000  4 Tl 2.94, 4 Os 2.94
Pa: 0.5000 0.0000 0.5000  4 Tl 2.94, 4 Os 2.94
Pa: 0.5000 0.5000 0.0000  4 Tl 2.94, 4 Os 2.94
Tl: 0.2500 0.2500 0.2500  4 Pa 2.94
Tl: 0.2500 0.7500 0.7500  4 Pa 2.94
Tl: 0.7500 0.2500 0.7500  4 Pa 2.94
Tl: 0.7500 0.7500 0.2500  4 Pa 2.94
Os: 0.2500 0.2500 0.7500  4 Pa 2.94
Os: 0.2500 0.7500 0.2500  4 Pa 2.94
Os: 0.7500 0.2500 0.2500  4 Pa 2.94
Os: 0.7500 0.7500 0.7500  4 Pa 2.94

Version b
A geometry-optimized PaTlOs structure, computed with PBE.

## Properties
V (A^3/atom): 24.95
Magnetization (Bohr magnetons per cell): 7.59
SG: F-43m

Cell lengths 6.6902, 6.6902, 6.6902 Å; angles 90.00, 90.00, 90.00 degrees
Closest atoms and distances in Å follow each position.
Positions (direct):
Pa: 0.0000 0.0000 0.0000  4 Tl 2.90
Pa: 0.0000 0.5000 0.5000  4 Tl 2.90
Pa: 0.5000 0.0000 0.5000  4 Tl 2.90
Pa: 0.5000 0.5000 0.0000  4 Tl 2.90
Tl: 0.2500 0.2500 0.7500  4 Pa 2.90, 4 Os 2.90
Tl: 0.2500 0.7500 0.2500  4 Pa 2.90, 4 Os 2.90
Tl: 0.7500 0.2500 0.2500  4 Pa 2.90, 4 Os 2.90
Tl: 0.7500 0.7500 0.7500  4 Pa 2.90, 4 Os 2.90
Os: 0.0000 0.0000 0.5000  4 Tl 2.90
Os: 0.0000 0.5000 0.0000  4 Tl 2.90
Os: 0.5000 0.0000 0.0000  4 Tl 2.90
Os: 0.5000 0.5000 0.5000  4 Tl 2.90

Least stable structure: version b

Version a
A geometry-optimized PaZnOs structure, computed with PBE.

## Properties
V (A^3/atom): 22.67
Magnetization (Bohr magnetons per cell): 0.01
SG: F-43m

Cell lengths 6.4794, 6.4794, 6.4794 Å; angles 90.00, 90.00, 90.00 degrees
Closest atoms and distances in Å follow each position.
Positions (direct):
Pa: 0.0000 0.0000 0.0000  4 Zn 2.81, 4 Os 2.81
Pa: 0.0000 0.5000 0.5000  4 Zn 2.81, 4 Os 2.81
Pa: 0.5000 0.0000 0.5000  4 Zn 2.81, 4 Os 2.81
Pa: 0.5000 0.5000 0.0000  4 Zn 2.81, 4 Os 2.81
Zn: 0.2500 0.2500 0.7500  4 Pa 2.81
Zn: 0.2500 0.7500 0.2500  4 Pa 2.81
Zn: 0.7500 0.2500 0.2500  4 Pa 2.81
Zn: 0.7500 0.7500 0.7500  4 Pa 2.81
Os: 0.2500 0.2500 0.2500  4 Pa 2.81
Os: 0.2500 0.7500 0.7500  4 Pa 2.81
Os: 0.7500 0.2500 0.7500  4 Pa 2.81
Os: 0.7500 0.7500 0.2500  4 Pa 2.81

Version b
A geometry-optimized PaZnOs structure, computed with PBE.

## Properties
V (A^3/atom): 21.70
Magnetization (Bohr magnetons per cell): 0.12
SG: F-43m

Cell lengths 6.3855, 6.3855, 6.3855 Å; angles 90.00, 90.00, 90.00 degrees
Closest atoms and distances in Å follow each position.
Positions (direct):
Pa: 0.0000 0.0000 0.0000  4 Os 2.76
Pa: 0.0000 0.5000 0.5000  4 Os 2.76
Pa: 0.5000 0.0000 0.5000  4 Os 2.76
Pa: 0.5000 0.5000 0.0000  4 Os 2.76
Zn: 0.0000 0.0000 0.5000  4 Os 2.76
Zn: 0.0000 0.5000 0.0000  4 Os 2.76
Zn: 0.5000 0.0000 0.0000  4 Os 2.76
Zn: 0.5000 0.5000 0.5000  4 Os 2.76
Os: 0.2500 0.2500 0.2500  4 Pa 2.76, 4 Zn 2.76
Os: 0.2500 0.7500 0.7500  4 Pa 2.76, 4 Zn 2.76
Os: 0.7500 0.2500 0.7500  4 Pa 2.76, 4 Zn 2.76
Os: 0.7500 0.7500 0.2500  4 Pa 2.76, 4 Zn 2.76

Least stable structure: version a